[1]
CoRe2Mo | SCAN | PBEsol geometry

```
CoRe2Mo
1.0
2.662 0.000 0.000
0.000 3.761 0.000
0.000 0.000 5.508
Re Mo Co
2 1 1
direct
0.000 0.000 0.772
0.000 0.000 0.228
0.500 0.500 0.500
0.500 0.500 0.000
```

total magnetic moment = 1.1 μB per cell
offset from the most stable computed form = 112 meV/atom
energy of formation = 211 meV per atom
calculated total energy = -48.39 eV/atom

[2]
CdAg2P | SCAN | PBEsol geometry

```
CdAg2P
1.0
-2.001 1.858 -0.968
-1.692 -0.668 2.254
3.463 6.014 4.381
Ag Cd P
2 1 1
direct
0.000 0.000 0.007
0.500 0.500 0.757
0.000 0.000 0.502
0.500 0.500 0.234
```

total magnetic moment = 0.0 μB per cell
offset from the most stable computed form = 54 meV/atom
energy of formation = 245 meV per atom
calculated total energy = -25.64 eV/atom

[3]
ReAgRh | SCAN | PBEsol geometry

```
ReAgRh
1.0
2.744 0.000 0.000
0.000 2.744 0.000
-1.372 -1.372 5.907
Ag Re Rh
1 1 1
direct
0.000 0.000 0.000
0.678 0.678 0.356
0.322 0.322 0.644
```

total magnetic moment = 0.0 μB per cell
energy of formation = 243 meV per atom
calculated total energy = -45.17 eV/atom

[4]
Te2IrSe | SCAN | PBEsol geometry

```
Te2IrSe
1.0
-3.060 -0.477 -0.320
0.470 -1.086 -2.879
0.954 -8.331 3.299
Ir Se Te
1 1 2
direct
0.500 0.500 0.000
0.500 0.500 0.500
0.000 0.000 0.802
0.000 0.000 0.198
```

total magnetic moment = 0.0 μB per cell
formation energy without anion corrections = 1.5 eV/f.u.
calculated total energy = -41.04 eV/atom

[5]
CdTcSbPb2 | SCAN | PBEsol geometry

```
CdTcSbPb2
1.0
-2.573 3.020 -3.364
-4.400 -0.784 2.661
1.049 4.203 2.972
Pb Sb Tc Cd
2 1 1 1
direct
0.000 0.500 0.000
0.500 0.000 0.000
0.500 0.500 0.500
0.000 0.000 0.000
0.000 0.000 0.500
```

total magnetic moment = 2.1 μB per cell
formation energy without anion corrections = 3.0 eV/f.u.
calculated total energy = -50.26 eV/atom

[6]
CdAg2Au | SCAN | PBEsol geometry

```
CdAg2Au
1.0
-3.799 1.314 0.881
-1.510 -2.378 -2.969
-0.439 -3.064 2.677
Au Ag Cd
1 2 1
direct
0.500 0.500 0.000
0.000 0.000 0.000
0.000 0.500 0.500
0.500 0.000 0.500
```

total magnetic moment = 0.0 μB per cell
energy of formation = -137 meV per atom
calculated total energy = -40.71 eV/atom

[7]
ZrZn2Se | SCAN | PBEsol geometry

```
ZrZn2Se
1.0
4.542 0.000 0.000
0.000 3.772 0.811
0.000 -0.811 3.773
Se Zn Zr
1 2 1
direct
0.500 0.500 0.500
0.000 0.500 0.000
0.000 0.000 0.500
0.500 0.000 0.000
```

total magnetic moment = 0.0 μB per cell
formation energy without anion corrections = -1.3 eV/f.u.
calculated total energy = -19.78 eV/atom

[8]
Cs3Te22 | SCAN | PBEsol geometry

```
Cs3Te22
1.0
-8.884 3.059 0.531
-2.007 -4.427 -8.058
2.938 -7.485 8.876
Cs Te
3 22
direct
0.500 0.500 0.000
0.175 0.175 0.351
0.825 0.825 0.649
0.606 0.405 0.606
0.999 0.201 0.606
0.201 0.606 0.606
0.405 0.999 0.606
0.394 0.595 0.394
0.001 0.799 0.394
0.799 0.394 0.394
0.595 0.001 0.394
0.677 0.242 0.769
0.092 0.527 0.769
0.527 0.677 0.769
0.242 0.092 0.769
0.323 0.758 0.231
0.908 0.473 0.231
0.473 0.323 0.231
0.758 0.908 0.231
0.805 0.109 0.000
0.195 0.891 0.000
0.891 0.805 0.000
0.109 0.195 0.000
0.500 0.000 0.000
0.000 0.500 0.000
```

total magnetic moment = 0.0 μB per cell
formation energy without anion corrections = -6.6 eV/f.u.
calculated total energy = -37.58 eV/atom

Record-wise density values, in Mg/m³: 15.88, 8.66, 14.82, 10.01, 8.72, 12.65, 7.39, 6.04